1.
The following is a DFT calculation (GGA-PBE) of crystalline NdPu3Ir2 at its relaxed geometry.

Lattice parameters (Å, degrees): 16.2642 4.7436 7.6675 90.00 114.33 90.00
Closest atoms and distances in Å follow each position.
Space group C2/m (No. 12)
One atom of each set of equivalent atoms:
1 Nd 0.1180 0.0000 0.1882 (multiplicity 4)  7 Ir 3.13-3.44, 3 Pu 3.44-3.50
2 Pu 0.0683 0.0000 0.6944 (multiplicity 4)  3 Ir 2.88-3.03, 3 Pu 2.89-3.01
3 Pu 0.1273 0.5000 0.5338 (multiplicity 4)  4 Ir 2.87-2.90, 3 Pu 3.01-3.06
4 Pu 0.1976 0.5000 0.9704 (multiplicity 4)  2 Ir 2.67-2.82, 2 Pu 2.85
5 Ir 0.0179 0.5000 0.8407 (multiplicity 4)  4 Pu 2.67-2.88, 1 Ir 2.74
6 Ir 0.2396 0.0000 0.6277 (multiplicity 4)  5 Pu 2.82-3.03, 1 Nd 3.13

Summary:
**Calculated total energy**: -0.413 Ha/atom
**Offset from the most stable computed form**: 0.043 eV/atom
**N(E_F)**: 72.20 states/eV/cell
**Mass density**: 15.5 g/cm3
**Total magnetic moment**: 18.974 μB per cell

---

2.
The following is a DFT calculation (GGA-PBE) of crystalline CsSm2CdTe4 at its relaxed geometry.

Lattice parameters (Å, degrees): 4.5869 16.0151 16.1744 90.00 90.00 90.00
Closest atoms and distances in Å follow each position.
Space group Cmcm (No. 63)
One atom of each set of equivalent atoms:
1 Cs 0.0000 0.1215 0.2500 (multiplicity 4)  6 Te 3.73-3.86, 2 Cd 4.09
2 Sm 0.0000 0.3788 0.0543 (multiplicity 8)  6 Te 3.13-3.30
3 Cd 0.0000 0.1669 0.7500 (multiplicity 4)  4 Te 2.81-2.84
4 Te 0.0000 0.0000 0.0000 (multiplicity 4)  4 Sm 3.13
5 Te 0.0000 0.2568 0.6009 (multiplicity 8)  1 Cd 2.81
6 Te 0.0000 0.4377 0.2500 (multiplicity 4)  2 Cd 2.84

Summary:
**Uncorrected formation energy**: -1091 meV per atom
**Calculated total energy**: -0.149 Ha/atom
**N(E_F)**: 15.67 states/eV/cell
**Mass density**: 5.9 g/cm3
**Total magnetic moment**: 0.000 μB per cell